# 1
The following is a PBE calculation of a relaxed Cs2SmCd2S4 crystal, from the Alexandria database.

Geometry as CIF:
```
data_Cs2SmCd2S4
_chemical_formula_sum 'Cs4 Sm2 Cd4 S8'
_cell_length_a 16.736
_cell_length_b 4.125
_cell_length_c 8.579
_cell_angle_alpha 90.00
_cell_angle_beta 112.65
_cell_angle_gamma 90.00
_symmetry_space_group_name_H-M 'C 1 2/m 1'
_symmetry_Int_Tables_number 12
_symmetry_space_group_name_Hall '-C 2y'
loop_
_atom_site_label
_atom_site_type_symbol
_atom_site_fract_x
_atom_site_fract_y
_atom_site_fract_z
_atom_site_occupancy
Cs1 Cs 0.127 0.000 0.057 1
Sm1 Sm 0.000 0.000 0.500 1
Cd1 Cd 0.185 0.500 0.519 1
S1 S 0.027 0.500 0.296 1
S2 S 0.181 0.000 0.706 1
```

Output
As for the formation energy without anion corrections: -10.20 eV/f.u. The value obtained for the spin magnetization is 0.00 Bohr magnetons per cell. The value obtained for the final energy is -3.885 eV per atom. The calculated volume is 30.36 A^3/atom.

***

# 2
The following is a PBE calculation of a relaxed Cs3Sm2CdS6 crystal, from the Alexandria database.

Geometry as CIF:
```
data_Cs3Sm2CdS6
_chemical_formula_sum 'Cs6 Sm4 Cd2 S12'
_cell_length_a 7.221
_cell_length_b 12.493
_cell_length_c 8.411
_cell_angle_alpha 90.00
_cell_angle_beta 106.54
_cell_angle_gamma 90.00
_symmetry_space_group_name_H-M 'C 1 2/m 1'
_symmetry_Int_Tables_number 12
_symmetry_space_group_name_Hall '-C 2y'
loop_
_atom_site_label
_atom_site_type_symbol
_atom_site_fract_x
_atom_site_fract_y
_atom_site_fract_z
_atom_site_occupancy
Cs1 Cs 0.000 0.000 0.000 1
Cs2 Cs 0.000 0.335 0.000 1
Sm1 Sm 0.000 0.167 0.500 1
Cd1 Cd 0.000 0.500 0.500 1
S1 S 0.228 0.334 0.685 1
S2 S 0.229 0.000 0.685 1
```

Output
As for the formation energy without anion corrections: -16.12 eV/f.u. The value obtained for the spin magnetization is 1.18 Bohr magnetons per cell. The value obtained for the final energy is -4.483 eV per atom. The calculated volume is 30.31 A^3/atom.

***

# 3
The following is a PBE calculation of a relaxed Cs2SrCd2S4 crystal, from the Alexandria database.

Geometry as CIF:
```
data_Cs2SrCd2S4
_chemical_formula_sum 'Cs4 Sr2 Cd4 S8'
_cell_length_a 16.565
_cell_length_b 4.345
_cell_length_c 8.289
_cell_angle_alpha 90.00
_cell_angle_beta 108.80
_cell_angle_gamma 90.00
_symmetry_space_group_name_H-M 'C 1 2/m 1'
_symmetry_Int_Tables_number 12
_symmetry_space_group_name_Hall '-C 2y'
loop_
_atom_site_label
_atom_site_type_symbol
_atom_site_fract_x
_atom_site_fract_y
_atom_site_fract_z
_atom_site_occupancy
Cs1 Cs 0.126 0.000 0.042 1
Sr1 Sr 0.000 0.000 0.500 1
Cd1 Cd 0.170 0.500 0.475 1
S1 S 0.022 0.500 0.268 1
S2 S 0.205 0.000 0.664 1
```

Output
As for the formation energy without anion corrections: -10.61 eV/f.u. The value obtained for the spin magnetization is 0.00 Bohr magnetons per cell. The value obtained for the final energy is -3.593 eV per atom. The calculated volume is 31.38 A^3/atom.

***

# 4
The following is a PBE calculation of a relaxed Cs2TaCdS4 crystal, from the Alexandria database.

Geometry as CIF:
```
data_Cs2TaCdS4
_chemical_formula_sum 'Cs16 Ta8 Cd8 S32'
_cell_length_a 6.716
_cell_length_b 14.243
_cell_length_c 24.721
_cell_angle_alpha 90.00
_cell_angle_beta 90.00
_cell_angle_gamma 90.00
_symmetry_space_group_name_H-M 'F d d d'
_symmetry_Int_Tables_number 70
loop_
_symmetry_equiv_pos_as_xyz
'x,y,z'
'-x,-y,-z'
'-x+1/4,-y+1/4,z'
'x+1/4,y+1/4,-z'
'x,-y+1/4,-z+1/4'
'-x,y+1/4,z+1/4'
'-x+1/4,y,-z+1/4'
'x+1/4,-y,z+1/4'
'x,y+1/2,z+1/2'
'-x,-y+1/2,-z+1/2'
'-x+1/4,-y+3/4,z+1/2'
'x+1/4,y+3/4,-z+1/2'
'x,-y+3/4,-z+3/4'
'-x,y+3/4,z+3/4'
'-x+1/4,y+1/2,-z+3/4'
'x+1/4,-y+1/2,z+3/4'
'x+1/2,y,z+1/2'
'-x+1/2,-y,-z+1/2'
'-x+3/4,-y+1/4,z+1/2'
'x+3/4,y+1/4,-z+1/2'
'x+1/2,-y+1/4,-z+3/4'
'-x+1/2,y+1/4,z+3/4'
'-x+3/4,y,-z+3/4'
'x+3/4,-y,z+3/4'
'x+1/2,y+1/2,z'
'-x+1/2,-y+1/2,-z'
'-x+3/4,-y+3/4,z'
'x+3/4,y+3/4,-z'
'x+1/2,-y+3/4,-z+1/4'
'-x+1/2,y+3/4,z+1/4'
'-x+3/4,y+1/2,-z+1/4'
'x+3/4,-y+1/2,z+1/4'
loop_
_atom_site_label
_atom_site_type_symbol
_atom_site_fract_x
_atom_site_fract_y
_atom_site_fract_z
_atom_site_occupancy
Cs1 Cs 0.125 0.125 0.302 1
Ta1 Ta 0.125 0.125 0.625 1
Cd1 Cd 0.125 0.125 0.125 1
S1 S 0.089 0.283 0.824 1
```

Output
As for the formation energy without anion corrections: -7.74 eV/f.u. The value obtained for the spin magnetization is 0.00 Bohr magnetons per cell. The value obtained for the final energy is -4.840 eV per atom. The calculated volume is 36.95 A^3/atom.

***

# 5
The following is a PBE calculation of a relaxed CsTaCdS4 crystal, from the Alexandria database.

Geometry as CIF:
```
data_CsTaCdS4
_chemical_formula_sum 'Cs2 Ta2 Cd2 S8'
_cell_length_a 6.243
_cell_length_b 7.362
_cell_length_c 9.897
_cell_angle_alpha 90.00
_cell_angle_beta 106.73
_cell_angle_gamma 90.00
_symmetry_space_group_name_H-M 'P 1 21/m 1'
_symmetry_Int_Tables_number 11
_symmetry_space_group_name_Hall '-P 2yb'
loop_
_atom_site_label
_atom_site_type_symbol
_atom_site_fract_x
_atom_site_fract_y
_atom_site_fract_z
_atom_site_occupancy
Cs1 Cs 0.246 0.250 0.390 1
Ta1 Ta 0.138 0.250 0.802 1
Cd1 Cd 0.362 0.750 0.009 1
S1 S 0.049 0.250 0.009 1
S2 S 0.157 0.750 0.392 1
S3 S 0.372 0.004 0.805 1
```

Output
As for the formation energy without anion corrections: -6.58 eV/f.u. The value obtained for the spin magnetization is 0.00 Bohr magnetons per cell. The value obtained for the final energy is -5.245 eV per atom. The calculated volume is 31.11 A^3/atom.

***

# 6
The following is a PBE calculation of a relaxed Cs2TbCd2S4 crystal, from the Alexandria database.

Geometry as CIF:
```
data_Cs2TbCd2S4
_chemical_formula_sum 'Cs4 Tb2 Cd4 S8'
_cell_length_a 16.679
_cell_length_b 4.080
_cell_length_c 8.569
_cell_angle_alpha 90.00
_cell_angle_beta 112.82
_cell_angle_gamma 90.00
_symmetry_space_group_name_H-M 'C 1 2/m 1'
_symmetry_Int_Tables_number 12
_symmetry_space_group_name_Hall '-C 2y'
loop_
_atom_site_label
_atom_site_type_symbol
_atom_site_fract_x
_atom_site_fract_y
_atom_site_fract_z
_atom_site_occupancy
Cs1 Cs 0.127 0.000 0.057 1
Tb1 Tb 0.000 0.000 0.500 1
Cd1 Cd 0.185 0.500 0.520 1
S1 S 0.026 0.500 0.298 1
S2 S 0.179 0.000 0.706 1
```

Output
As for the formation energy without anion corrections: -10.26 eV/f.u. The value obtained for the spin magnetization is 0.00 Bohr magnetons per cell. The value obtained for the final energy is -3.882 eV per atom. The calculated volume is 29.86 A^3/atom.

***

# 7
The following is a PBE calculation of a relaxed Cs2Cd2Te2S crystal, from the Alexandria database.

Geometry as CIF:
```
data_Cs2Cd2Te2S
_chemical_formula_sum 'Cs4 Cd4 Te4 S2'
_cell_length_a 15.034
_cell_length_b 4.702
_cell_length_c 9.148
_cell_angle_alpha 90.00
_cell_angle_beta 121.88
_cell_angle_gamma 90.00
_symmetry_space_group_name_H-M 'C 1 2/m 1'
_symmetry_Int_Tables_number 12
_symmetry_space_group_name_Hall '-C 2y'
loop_
_atom_site_label
_atom_site_type_symbol
_atom_site_fract_x
_atom_site_fract_y
_atom_site_fract_z
_atom_site_occupancy
Cs1 Cs 0.057 0.000 0.313 1
Cd1 Cd 0.186 0.500 0.069 1
Te1 Te 0.191 0.500 0.748 1
S1 S 0.000 0.500 0.000 1
```

Output
As for the formation energy without anion corrections: -5.84 eV/f.u. The value obtained for the spin magnetization is 0.00 Bohr magnetons per cell. The value obtained for the final energy is -2.826 eV per atom. The calculated volume is 39.22 A^3/atom.

***

# 8
The following is a PBE calculation of a relaxed Cs2ThCdS4 crystal, from the Alexandria database.

Geometry as CIF:
```
data_Cs2ThCdS4
_chemical_formula_sum 'Cs2 Th1 Cd1 S4'
_cell_length_a 7.237
_cell_length_b 4.191
_cell_length_c 8.504
_cell_angle_alpha 90.00
_cell_angle_beta 108.32
_cell_angle_gamma 90.00
_symmetry_space_group_name_H-M 'P 1 2/m 1'
_symmetry_Int_Tables_number 10
_symmetry_space_group_name_Hall '-P 2y'
loop_
_atom_site_label
_atom_site_type_symbol
_atom_site_fract_x
_atom_site_fract_y
_atom_site_fract_z
_atom_site_occupancy
Cs1 Cs 0.000 0.000 0.000 1
Cs2 Cs 0.500 0.500 0.000 1
Th1 Th 0.000 0.500 0.500 1
Cd1 Cd 0.500 0.000 0.500 1
S1 S 0.213 0.000 0.694 1
S2 S 0.273 0.500 0.326 1
```

Output
As for the formation energy without anion corrections: -10.76 eV/f.u. The value obtained for the spin magnetization is 0.00 Bohr magnetons per cell. The value obtained for the final energy is -4.664 eV per atom. The calculated volume is 30.60 A^3/atom.

***

# 9
The following is a PBE calculation of a relaxed Cs2TiCdS4 crystal, from the Alexandria database.

Geometry as CIF:
```
data_Cs2TiCdS4
_chemical_formula_sum 'Cs16 Ti8 Cd8 S32'
_cell_length_a 6.030
_cell_length_b 14.501
_cell_length_c 25.014
_cell_angle_alpha 90.00
_cell_angle_beta 90.00
_cell_angle_gamma 90.00
_symmetry_space_group_name_H-M 'F d d d'
_symmetry_Int_Tables_number 70
loop_
_symmetry_equiv_pos_as_xyz
'x,y,z'
'-x,-y,-z'
'-x+1/4,-y+1/4,z'
'x+1/4,y+1/4,-z'
'x,-y+1/4,-z+1/4'
'-x,y+1/4,z+1/4'
'-x+1/4,y,-z+1/4'
'x+1/4,-y,z+1/4'
'x,y+1/2,z+1/2'
'-x,-y+1/2,-z+1/2'
'-x+1/4,-y+3/4,z+1/2'
'x+1/4,y+3/4,-z+1/2'
'x,-y+3/4,-z+3/4'
'-x,y+3/4,z+3/4'
'-x+1/4,y+1/2,-z+3/4'
'x+1/4,-y+1/2,z+3/4'
'x+1/2,y,z+1/2'
'-x+1/2,-y,-z+1/2'
'-x+3/4,-y+1/4,z+1/2'
'x+3/4,y+1/4,-z+1/2'
'x+1/2,-y+1/4,-z+3/4'
'-x+1/2,y+1/4,z+3/4'
'-x+3/4,y,-z+3/4'
'x+3/4,-y,z+3/4'
'x+1/2,y+1/2,z'
'-x+1/2,-y+1/2,-z'
'-x+3/4,-y+3/4,z'
'x+3/4,y+3/4,-z'
'x+1/2,-y+3/4,-z+1/4'
'-x+1/2,y+3/4,z+1/4'
'-x+3/4,y+1/2,-z+1/4'
'x+3/4,-y+1/2,z+1/4'
loop_
_atom_site_label
_atom_site_type_symbol
_atom_site_fract_x
_atom_site_fract_y
_atom_site_fract_z
_atom_site_occupancy
Cs1 Cs 0.125 0.125 0.302 1
Ti1 Ti 0.125 0.125 0.625 1
Cd1 Cd 0.125 0.125 0.125 1
S1 S 0.092 0.282 0.823 1
```

Output
As for the formation energy without anion corrections: -9.60 eV/f.u. The value obtained for the spin magnetization is 0.00 Bohr magnetons per cell. The value obtained for the final energy is -4.579 eV per atom. The calculated volume is 34.17 A^3/atom.

***

# 10
The following is a PBE calculation of a relaxed Cs3Tm2CdS6 crystal, from the Alexandria database.

Geometry as CIF:
```
data_Cs3Tm2CdS6
_chemical_formula_sum 'Cs6 Tm4 Cd2 S12'
_cell_length_a 7.043
_cell_length_b 12.194
_cell_length_c 8.360
_cell_angle_alpha 90.00
_cell_angle_beta 106.19
_cell_angle_gamma 90.00
_symmetry_space_group_name_H-M 'C 1 2/m 1'
_symmetry_Int_Tables_number 12
_symmetry_space_group_name_Hall '-C 2y'
loop_
_atom_site_label
_atom_site_type_symbol
_atom_site_fract_x
_atom_site_fract_y
_atom_site_fract_z
_atom_site_occupancy
Cs1 Cs 0.000 0.000 0.000 1
Cs2 Cs 0.000 0.336 0.000 1
Tm1 Tm 0.000 0.167 0.500 1
Cd1 Cd 0.000 0.500 0.500 1
S1 S 0.220 0.000 0.680 1
S2 S 0.231 0.330 0.681 1
```

Output
As for the formation energy without anion corrections: -16.29 eV/f.u. The value obtained for the spin magnetization is 0.18 Bohr magnetons per cell. The value obtained for the final energy is -4.456 eV per atom. The calculated volume is 28.73 A^3/atom.

***

Q: The highest formation energy without anion corrections belongs to which entry?
A: Cs2Cd2Te2S